# Nd3ErSc2S6

A geometry-optimized Nd3ErSc2S6 structure (PBE, the Alexandria database).

Properties
Energy ... -6.642 eV/atom
Crystal system ... monoclinic
SG ... No. 12

Cell lengths 6.703, 6.703, 6.912 Å; angles 99.31, 99.31, 120.17 degrees
Fractional positions:
Nd 0.164 0.836 0.500
Nd 0.836 0.164 0.500
Nd 0.500 0.500 0.500
S 0.926 0.585 0.777
S 0.733 0.733 0.221
S 0.415 0.074 0.223
S 0.585 0.926 0.777
S 0.267 0.267 0.779
S 0.074 0.415 0.223
Er 0.000 0.000 0.000
Sc 0.667 0.333 0.000
Sc 0.333 0.667 0.000



# Nd2Er3ScS6

A geometry-optimized Nd2Er3ScS6 structure (PBE, the Alexandria database).

Properties
Energy ... -6.472 eV/atom
Crystal system ... monoclinic
SG ... No. 12

Cell lengths 3.892, 7.885, 8.740 Å; angles 103.27, 102.87, 90.00 degrees
Fractional positions:
S 0.338 0.931 0.675
S 0.005 0.760 0.011
S 0.995 0.240 0.989
S 0.338 0.406 0.676
S 0.662 0.594 0.324
S 0.662 0.069 0.325
Er 0.170 0.835 0.339
Er 0.500 0.500 0.000
Er 0.830 0.165 0.661
Sc 0.500 0.000 0.000
Nd 0.167 0.334 0.334
Nd 0.833 0.666 0.666



# NdErSeS

A geometry-optimized NdErSeS structure (PBE, the Alexandria database).

Properties
Energy ... -6.105 eV/atom
Crystal system ... trigonal
SG ... No. 160

Cell lengths 3.932, 3.934, 7.438 Å; angles 90.00, 105.31, 120.02 degrees
Fractional positions:
Er 0.487 0.141 0.644
S 0.295 0.546 0.856
Se 0.977 0.387 0.379
Nd 0.119 0.957 0.091



# Nd2Er2Se2S3

A geometry-optimized Nd2Er2Se2S3 structure (PBE, the Alexandria database).

Properties
Energy ... -5.284 eV/atom
Crystal system ... tetragonal
SG ... No. 139

Cell lengths 5.000, 5.000, 10.672 Å; angles 103.55, 103.55, 90.00 degrees
Fractional positions:
Er 0.000 0.500 0.000
Er 0.500 0.000 0.000
S 0.000 0.000 0.000
S 0.250 0.750 0.500
S 0.750 0.250 0.500
Se 0.878 0.878 0.757
Se 0.122 0.122 0.243
Nd 0.316 0.316 0.632
Nd 0.684 0.684 0.368



# Nd4SmErS8

A geometry-optimized Nd4SmErS8 structure (PBE, the Alexandria database).

Properties
Energy ... -6.292 eV/atom
Crystal system ... trigonal
SG ... No. 160

Cell lengths 8.278, 8.278, 8.269 Å; angles 59.96, 59.96, 60.00 degrees
Fractional positions:
Sm 0.002 0.002 0.995
Nd 0.495 0.002 0.502
Nd 0.002 0.495 0.502
Nd 0.625 0.625 0.126
Nd 0.002 0.002 0.502
S 0.761 0.224 0.255
S 0.758 0.758 0.726
S 0.248 0.248 0.257
S 0.760 0.245 0.751
S 0.224 0.761 0.255
S 0.245 0.760 0.751
S 0.761 0.761 0.255
S 0.245 0.245 0.751
Er 0.375 0.375 0.874



# Nd3Sm4ErS8

A geometry-optimized Nd3Sm4ErS8 structure (PBE, the Alexandria database).

Properties
Energy ... -6.430 eV/atom
Crystal system ... trigonal
SG ... No. 166

Cell lengths 8.040, 8.026, 8.039 Å; angles 120.05, 120.00, 90.00 degrees
Fractional positions:
Sm 0.000 0.000 0.500
Sm 0.500 0.000 0.500
Sm 0.500 0.000 0.000
Sm 0.000 0.000 0.000
S 0.248 0.244 0.496
S 0.244 0.748 0.489
S 0.759 0.748 0.004
S 0.756 0.252 0.996
S 0.244 0.748 0.004
S 0.756 0.252 0.511
S 0.241 0.252 0.996
S 0.752 0.756 0.504
Nd 0.500 0.500 0.500
Nd 0.000 0.500 0.500
Nd 0.500 0.500 0.000
Er 0.000 0.500 0.000



# Nd3SmEr3S8

A geometry-optimized Nd3SmEr3S8 structure (PBE, the Alexandria database).

Properties
Energy ... -6.418 eV/atom
Crystal system ... trigonal
SG ... No. 166

Cell lengths 7.887, 7.888, 7.969 Å; angles 119.66, 90.00, 120.00 degrees
Fractional positions:
Nd 0.500 0.500 0.000
Nd 0.000 0.000 0.000
Nd 0.000 0.500 0.000
Er 0.000 0.500 0.500
Er 0.500 0.500 0.500
Er 0.500 0.000 0.500
S 0.748 0.496 0.260
S 0.744 0.488 0.732
S 0.252 0.504 0.740
S 0.252 0.987 0.740
S 0.735 0.987 0.740
S 0.748 0.013 0.260
S 0.256 0.512 0.268
S 0.265 0.013 0.260
Sm 0.000 0.000 0.500



# NdSm3Er2S6

A geometry-optimized NdSm3Er2S6 structure (PBE, the Alexandria database).

Properties
Energy ... -6.404 eV/atom
Crystal system ... monoclinic
SG ... No. 12

Cell lengths 6.880, 6.880, 6.887 Å; angles 99.56, 99.56, 120.16 degrees
Fractional positions:
S 0.919 0.574 0.756
S 0.081 0.426 0.244
S 0.574 0.919 0.756
S 0.426 0.081 0.244
S 0.735 0.735 0.239
S 0.265 0.265 0.761
Sm 0.161 0.839 0.500
Sm 0.839 0.161 0.500
Sm 0.500 0.500 0.500
Er 0.666 0.334 0.000
Er 0.334 0.666 0.000
Nd 0.000 0.000 0.000



# NdSm4ErS8

A geometry-optimized NdSm4ErS8 structure (PBE, the Alexandria database).

Properties
Energy ... -6.289 eV/atom
Crystal system ... trigonal
SG ... No. 160

Cell lengths 8.210, 8.210, 8.221 Å; angles 60.05, 60.05, 60.00 degrees
Fractional positions:
S 0.227 0.756 0.261
S 0.756 0.756 0.261
S 0.756 0.227 0.261
S 0.246 0.246 0.263
S 0.248 0.761 0.742
S 0.248 0.248 0.742
S 0.758 0.758 0.725
S 0.761 0.248 0.742
Sm 0.001 0.001 0.501
Sm 0.625 0.625 0.124
Sm 0.497 0.001 0.501
Sm 0.001 0.497 0.501
Er 0.375 0.375 0.876
Nd 0.001 0.001 0.996



# Nd2SmErS4

A geometry-optimized Nd2SmErS4 structure (PBE, the Alexandria database).

Properties
Energy ... -6.422 eV/atom
Crystal system ... monoclinic
SG ... No. 10

Cell lengths 3.953, 6.926, 7.012 Å; angles 108.82, 90.00, 90.00 degrees
Fractional positions:
S 0.000 0.753 0.239
S 0.500 0.238 0.234
S 0.500 0.762 0.766
S 0.000 0.247 0.761
Nd 0.500 0.000 0.500
Nd 0.000 0.500 0.500
Er 0.000 0.000 0.000
Sm 0.500 0.500 0.000



# Nd2SmErS6

A geometry-optimized Nd2SmErS6 structure (PBE, the Alexandria database).

Properties
Energy ... -6.385 eV/atom
Crystal system ... trigonal
SG ... No. 146

Cell lengths 7.087, 7.087, 7.458 Å; angles 61.63, 61.63, 60.00 degrees
Fractional positions:
S 0.206 0.936 0.254
S 0.604 0.206 0.254
S 0.936 0.604 0.254
S 0.701 0.116 0.758
S 0.425 0.701 0.758
S 0.116 0.425 0.758
Er 0.317 0.317 0.049
Nd 0.522 0.522 0.433
Nd 0.020 0.020 0.939
Sm 0.814 0.814 0.557



# NdSm2ErS6

A geometry-optimized NdSm2ErS6 structure (PBE, the Alexandria database).

Properties
Energy ... -6.383 eV/atom
Crystal system ... trigonal
SG ... No. 146

Cell lengths 7.058, 7.058, 7.455 Å; angles 61.74, 61.74, 59.99 degrees
Fractional positions:
Sm 0.521 0.521 0.438
Sm 0.017 0.017 0.948
S 0.214 0.929 0.251
S 0.124 0.412 0.755
S 0.929 0.606 0.251
S 0.606 0.214 0.251
S 0.709 0.124 0.755
S 0.412 0.709 0.755
Nd 0.812 0.812 0.563
Er 0.317 0.317 0.049



# NdSmEr4S8

A geometry-optimized NdSmEr4S8 structure (PBE, the Alexandria database).

Properties
Energy ... -6.258 eV/atom
Crystal system ... trigonal
SG ... No. 160

Cell lengths 8.048, 8.048, 8.106 Å; angles 60.24, 60.24, 60.00 degrees
Fractional positions:
S 0.232 0.751 0.266
S 0.758 0.758 0.727
S 0.244 0.244 0.730
S 0.751 0.751 0.266
S 0.782 0.244 0.730
S 0.237 0.237 0.288
S 0.244 0.782 0.730
S 0.751 0.232 0.266
Er 0.626 0.626 0.123
Er 0.000 0.502 0.499
Er 0.000 0.000 0.499
Er 0.502 0.000 0.499
Sm 0.999 0.999 0.002
Nd 0.374 0.374 0.879



# NdSmEr2S4

A geometry-optimized NdSmEr2S4 structure (PBE, the Alexandria database).

Properties
Energy ... -6.385 eV/atom
Crystal system ... monoclinic
SG ... No. 10

Cell lengths 3.893, 6.982, 6.788 Å; angles 71.29, 90.00, 90.00 degrees
Fractional positions:
Er 0.500 0.000 0.500
Er 0.000 0.000 0.000
S 0.500 0.233 0.754
S 0.000 0.768 0.742
S 0.000 0.232 0.258
S 0.500 0.767 0.246
Nd 0.500 0.500 0.000
Sm 0.000 0.500 0.500



# Nd3Sm2ErS6

A geometry-optimized Nd3Sm2ErS6 structure (PBE, the Alexandria database).

Properties
Energy ... -6.440 eV/atom
Crystal system ... monoclinic
SG ... No. 12

Cell lengths 6.949, 6.949, 6.975 Å; angles 99.54, 99.54, 120.16 degrees
Fractional positions:
Sm 0.333 0.667 0.000
Sm 0.667 0.333 0.000
S 0.404 0.079 0.239
S 0.921 0.596 0.761
S 0.596 0.921 0.761
S 0.079 0.404 0.239
S 0.756 0.756 0.242
S 0.244 0.244 0.758
Nd 0.829 0.171 0.500
Nd 0.171 0.829 0.500
Nd 0.500 0.500 0.500
Er 0.000 0.000 0.000



# Nd2Sm3ErS6

A geometry-optimized Nd2Sm3ErS6 structure (PBE, the Alexandria database).

Properties
Energy ... -6.428 eV/atom
Crystal system ... monoclinic
SG ... No. 12

Cell lengths 3.993, 8.055, 8.940 Å; angles 102.83, 102.90, 90.00 degrees
Fractional positions:
S 0.998 0.239 0.996
S 0.335 0.414 0.670
S 0.662 0.077 0.324
S 0.665 0.586 0.330
S 0.002 0.761 0.004
S 0.338 0.923 0.676
Nd 0.168 0.336 0.335
Nd 0.832 0.664 0.665
Sm 0.170 0.833 0.339
Sm 0.500 0.500 0.000
Sm 0.830 0.167 0.661
Er 0.500 0.000 0.000



# NdSm4Er3S8

A geometry-optimized NdSm4Er3S8 structure (PBE, the Alexandria database).

Properties
Energy ... -6.388 eV/atom
Crystal system ... trigonal
SG ... No. 166

Cell lengths 7.913, 7.948, 7.913 Å; angles 119.86, 120.00, 90.00 degrees
Fractional positions:
S 0.748 0.258 0.010
S 0.748 0.258 0.496
S 0.252 0.742 0.504
S 0.745 0.735 0.490
S 0.738 0.742 0.990
S 0.262 0.258 0.010
S 0.252 0.742 0.990
S 0.255 0.265 0.510
Er 0.500 0.500 0.000
Er 0.000 0.500 0.500
Er 0.500 0.500 0.500
Sm 0.000 0.000 0.500
Sm 0.500 0.000 0.000
Sm 0.000 0.000 0.000
Sm 0.500 0.000 0.500
Nd 0.000 0.500 0.000



# TbNd2Er3S6

A geometry-optimized TbNd2Er3S6 structure (PBE, the Alexandria database).

Properties
Energy ... -6.375 eV/atom
Crystal system ... monoclinic
SG ... No. 12

Cell lengths 3.911, 7.968, 8.841 Å; angles 103.98, 102.78, 90.00 degrees
Fractional positions:
S 0.333 0.929 0.665
S 0.995 0.252 0.991
S 0.662 0.594 0.324
S 0.338 0.406 0.676
S 0.005 0.748 0.009
S 0.667 0.071 0.335
Er 0.832 0.167 0.663
Er 0.168 0.833 0.337
Er 0.500 0.500 0.000
Nd 0.167 0.335 0.335
Nd 0.833 0.665 0.665
Tb 0.500 0.000 0.000



# Tb3Nd3ErS8

A geometry-optimized Tb3Nd3ErS8 structure (PBE, the Alexandria database).

Properties
Energy ... -6.442 eV/atom
Crystal system ... trigonal
SG ... No. 166

Cell lengths 7.933, 7.933, 8.006 Å; angles 119.70, 90.00, 120.00 degrees
Fractional positions:
S 0.244 0.992 0.736
S 0.747 0.992 0.736
S 0.746 0.492 0.737
S 0.756 0.008 0.264
S 0.254 0.508 0.263
S 0.253 0.008 0.264
S 0.244 0.489 0.736
S 0.756 0.511 0.264
Nd 0.000 0.500 0.000
Nd 0.000 0.000 0.000
Nd 0.500 0.500 0.000
Tb 0.500 0.000 0.500
Tb 0.000 0.500 0.500
Tb 0.500 0.500 0.500
Er 0.000 0.000 0.500



# TbNd4Er3S8

A geometry-optimized TbNd4Er3S8 structure (PBE, the Alexandria database).

Properties
Energy ... -6.402 eV/atom
Crystal system ... trigonal
SG ... No. 166

Cell lengths 7.872, 8.039, 7.872 Å; angles 119.32, 120.00, 90.00 degrees
Fractional positions:
Er 0.500 0.500 0.500
Er 0.500 0.500 0.000
Er 0.000 0.500 0.500
Nd 0.500 0.000 0.000
Nd 0.000 0.000 0.500
Nd 0.500 0.000 0.500
Nd 0.000 0.000 0.000
Tb 0.000 0.500 0.000
S 0.755 0.269 0.509
S 0.755 0.269 0.014
S 0.743 0.729 0.486
S 0.259 0.269 0.014
S 0.741 0.731 0.986
S 0.257 0.271 0.514
S 0.245 0.731 0.491
S 0.245 0.731 0.986



no.,formation energy from raw total energies (meV per atom)
1,-1951
2,-1945
3,-1869
4,-1060
5,-1908
6,-2007
7,-2036
8,-2003
9,-1916
10,-2006
11,-2027
12,-2029
13,-1918
14,-1995
15,-2017
16,-2010
17,-1991
18,-1990
19,-2057
20,-2002